No. 1
## Al2CdAs (PBE)

Data for a geometry-optimized Al2CdAs structure.

Cell and atoms, written as POSCAR:
```
Al2CdAs
1.0
1.4741 0.8511 10.2984
-1.4741 0.8511 10.2984
0.0000 -1.7021 10.2984
Al Cd As
2 1 1
direct
0.2433 0.2433 0.2433 Al
0.7567 0.7567 0.7567 Al
0.0000 0.0000 0.0000 Cd
0.5000 0.5000 0.5000 As
```

Summary:
Its space group is No. 166. For the total magnetization, the calculation gives 0.00 μB per cell. The energy relative to the elements comes out at 0.1676 eV/atom. The energy above the lowest structure with this stoichiometry comes out at 115.7 meV per atom. The total energy is -3.09 eV per atom.

No. 2
## Y2ReAgC (PBE)

Data for a geometry-optimized Y2ReAgC structure.

Cell and atoms, written as POSCAR:
```
Y2ReAgC
1.0
5.0191 0.0000 0.0000
0.0000 5.0191 0.0000
0.0000 0.0000 3.9533
Y Re Ag C
2 1 1 1
direct
0.0000 0.5000 0.0000 Y
0.5000 0.0000 0.0000 Y
0.0000 0.0000 0.5000 Re
0.5000 0.5000 0.5000 Ag
0.0000 0.0000 0.0000 C
```

Summary:
Its space group is No. 123. For the total magnetization, the calculation gives 0.00 μB per cell. The energy relative to the elements comes out at -0.2266 eV/atom. The total energy is -7.72 eV per atom.

No. 3
## GdTeS2 (PBE)

Data for a geometry-optimized GdTeS2 structure.

Cell and atoms, written as POSCAR:
```
GdTeS2
1.0
2.1299 1.2297 7.9483
-2.1299 1.2297 7.9483
0.0000 -2.4594 7.9483
Gd Te S
1 1 2
direct
0.0000 0.0000 0.0000 Gd
0.5000 0.5000 0.5000 Te
0.1126 0.1126 0.1126 S
0.8874 0.8874 0.8874 S
```

Summary:
Its space group is No. 166. For the total magnetization, the calculation gives 7.12 μB per cell. The total energy is -6.42 eV per atom. The value obtained for the formation energy (no corrections) is -47 meV per atom.

No. 4
## PrMgScRh (PBE)

Data for a geometry-optimized PrMgScRh structure.

Cell and atoms, written as POSCAR:
```
PrMgScRh
1.0
0.0000 3.5541 3.5541
3.5541 0.0000 3.5541
3.5541 3.5541 0.0000
Pr Mg Sc Rh
1 1 1 1
direct
0.0000 0.0000 0.0000 Pr
0.7500 0.7500 0.7500 Mg
0.5000 0.5000 0.5000 Sc
0.2500 0.2500 0.2500 Rh
```

Summary:
Its space group is No. 216. For the total magnetization, the calculation gives 0.00 μB per cell. The energy relative to the elements comes out at -0.3153 eV/atom. The total energy is -5.33 eV per atom.

no.,DOS(E_F) (states/eV per atom)
1,0.377
2,0.448
3,1.543
4,0.564